## NdHoTlHg (PBE)

Data for crystalline NdHoTlHg at its relaxed geometry.

As for the polymorph energy (0 for the lowest one): 10.6 meV per atom. As for the volume: 27.767 Å³ per atom. As for the space group: F-43m. The value obtained for the formation energy from the elements is -158.7 kJ/mol of formula units.

Cell lengths 5.396, 5.396, 5.396 Å; angles 60.00, 60.00, 60.00 degrees
Each line ends with the local moment (μB).
Fractional positions:
Tl (0.250, 0.250, 0.250)  -0.01
Ho (0.500, 0.500, 0.500)  0.23
Hg (0.750, 0.750, 0.750)  0.02
Nd (0.000, 0.000, 0.000)  0.16

=====

## NdHoTlHg (PBE)

Data for crystalline NdHoTlHg at its relaxed geometry.

As for the polymorph energy (0 for the lowest one): 0.0 meV per atom. As for the volume: 27.699 Å³ per atom. As for the space group: P4mm. The value obtained for the formation energy from the elements is -162.7 kJ/mol of formula units.

Cell lengths 3.796, 3.796, 7.689 Å; angles 90.00, 90.00, 90.00 degrees
Each line ends with the local moment (μB).
Fractional positions:
Ho (0.500, 0.500, 0.595)  0.08
Hg (0.000, 0.000, 0.376)  0.02
Tl (0.000, 0.000, 0.843)  0.00
Nd (0.500, 0.500, 0.114)  0.23

=====

## NdHo2TmHg4 (PBE)

Data for crystalline NdHo2TmHg4 at its relaxed geometry.

As for the volume: 26.046 Å³ per atom. As for the space group: R-3m. The value obtained for the formation energy from the elements is -361.1 kJ/mol of formula units.

Cell lengths 5.266, 5.266, 9.194 Å; angles 73.36, 73.36, 60.00 degrees
Each line ends with the local moment (μB).
Fractional positions:
Nd (0.000, 0.000, 0.000)  0.13
Hg (0.378, 0.378, 0.865)  0.01
Hg (0.622, 0.622, 0.135)  0.01
Hg (0.127, 0.127, 0.618)  0.01
Hg (0.873, 0.873, 0.382)  0.01
Tm (0.500, 0.500, 0.500)  0.04
Ho (0.249, 0.249, 0.254)  0.11
Ho (0.751, 0.751, 0.746)  0.11

=====

## NdHoTm2Hg4 (PBE)

Data for crystalline NdHoTm2Hg4 at its relaxed geometry.

As for the volume: 25.904 Å³ per atom. As for the space group: R-3m. The value obtained for the formation energy from the elements is -360.3 kJ/mol of formula units.

Cell lengths 5.261, 5.261, 9.165 Å; angles 73.32, 73.32, 60.00 degrees
Each line ends with the local moment (μB).
Fractional positions:
Hg (0.127, 0.127, 0.619)  0.00
Hg (0.873, 0.873, 0.381)  0.00
Hg (0.378, 0.378, 0.866)  0.01
Hg (0.622, 0.622, 0.134)  0.01
Tm (0.751, 0.751, 0.747)  0.07
Tm (0.249, 0.249, 0.253)  0.07
Nd (0.000, 0.000, 0.000)  0.09
Ho (0.500, 0.500, 0.500)  0.03

=====

## Ho2NiHg (PBE)

Data for crystalline Ho2NiHg at its relaxed geometry.

As for the polymorph energy (0 for the lowest one): 0.0 meV per atom. As for the volume: 22.173 Å³ per atom. As for the space group: P4/mmm. The value obtained for the formation energy from the elements is -175.3 kJ/mol of formula units.

Cell lengths 3.445, 3.445, 7.473 Å; angles 90.00, 90.00, 90.00 degrees
Fractional positions:
Ni (0.500, 0.500, 0.000)
Ho (0.000, 0.000, 0.784)
Ho (0.000, 0.000, 0.216)
Hg (0.500, 0.500, 0.500)

=====

## HoNi2Hg (PBE)

Data for crystalline HoNi2Hg at its relaxed geometry.

As for the polymorph energy (0 for the lowest one): 0.0 meV per atom. As for the volume: 16.945 Å³ per atom. As for the space group: Fm-3m. The value obtained for the formation energy from the elements is -94.2 kJ/mol of formula units.

Cell lengths 4.577, 4.577, 4.577 Å; angles 60.00, 60.00, 60.00 degrees
Fractional positions:
Ho (0.000, 0.000, 0.000)
Ni (0.250, 0.250, 0.250)
Ni (0.750, 0.750, 0.750)
Hg (0.500, 0.500, 0.500)

=====

## Ho8Ni2Hg (PBE)

Data for crystalline Ho8Ni2Hg at its relaxed geometry.

As for the volume: 26.309 Å³ per atom. As for the space group: C2/m. The value obtained for the formation energy from the elements is -170.5 kJ/mol of formula units.

Cell lengths 5.383, 7.817, 7.817 Å; angles 114.68, 97.75, 97.75 degrees
Fractional positions:
Ho (0.307, 0.614, 0.614)
Ho (0.082, 0.076, 0.334)
Ho (0.500, 0.243, 0.757)
Ho (0.500, 0.757, 0.243)
Ho (0.693, 0.386, 0.386)
Ho (0.918, 0.924, 0.666)
Ho (0.082, 0.334, 0.076)
Ho (0.918, 0.666, 0.924)
Hg (0.500, 0.000, 0.000)
Ni (0.000, 0.696, 0.304)
Ni (0.000, 0.304, 0.696)

=====

## HoNi5Hg (PBE)

Data for crystalline HoNi5Hg at its relaxed geometry.

As for the volume: 14.407 Å³ per atom. As for the space group: Pnma. The value obtained for the formation energy from the elements is -152.9 kJ/mol of formula units.

Cell lengths 4.833, 8.085, 10.324 Å; angles 90.00, 90.00, 90.00 degrees
Each line ends with the local moment (μB).
Fractional positions:
Hg (0.250, 0.865, 0.866)  -0.01
Hg (0.750, 0.135, 0.134)  -0.01
Hg (0.250, 0.365, 0.634)  -0.01
Hg (0.750, 0.635, 0.366)  -0.01
Ni (0.250, 0.688, 0.239)  0.34
Ni (0.250, 0.951, 0.111)  0.11
Ni (0.500, 0.931, 0.314)  0.28
Ni (0.500, 0.569, 0.814)  0.28
Ni (0.750, 0.920, 0.517)  0.21
Ni (0.750, 0.049, 0.889)  0.11
Ni (0.750, 0.312, 0.761)  0.34
Ni (0.250, 0.451, 0.389)  0.11
Ni (0.750, 0.812, 0.739)  0.34
Ni (0.000, 0.431, 0.186)  0.28
Ni (0.250, 0.580, 0.017)  0.21
Ni (0.500, 0.069, 0.686)  0.28
Ni (0.000, 0.069, 0.686)  0.28
Ni (0.750, 0.420, 0.983)  0.21
Ni (0.000, 0.569, 0.814)  0.28
Ni (0.500, 0.431, 0.186)  0.28
Ni (0.250, 0.080, 0.483)  0.21
Ni (0.250, 0.188, 0.261)  0.34
Ni (0.000, 0.931, 0.314)  0.28
Ni (0.750, 0.549, 0.611)  0.11
Ho (0.750, 0.252, 0.438)  -0.05
Ho (0.250, 0.748, 0.562)  -0.05
Ho (0.250, 0.248, 0.938)  -0.05
Ho (0.750, 0.752, 0.062)  -0.05

=====

## HoNi2Hg (PBE)

Data for crystalline HoNi2Hg at its relaxed geometry.

As for the polymorph energy (0 for the lowest one): 78.2 meV per atom. As for the volume: 17.120 Å³ per atom. As for the space group: P4/mmm. The value obtained for the formation energy from the elements is -64.0 kJ/mol of formula units.

Cell lengths 3.571, 4.379, 4.379 Å; angles 90.00, 90.00, 90.00 degrees
Fractional positions:
Ni (0.000, 0.500, 0.000)
Ni (0.000, 0.000, 0.500)
Hg (0.500, 0.000, 0.000)
Ho (0.500, 0.500, 0.500)

=====

## Ho4NiHg2 (PBE)

Data for crystalline Ho4NiHg2 at its relaxed geometry.

As for the polymorph energy (0 for the lowest one): 0.0 meV per atom. As for the volume: 27.716 Å³ per atom. As for the space group: Pbam. The value obtained for the formation energy from the elements is -189.0 kJ/mol of formula units.

Cell lengths 3.878, 7.850, 12.748 Å; angles 90.00, 90.00, 90.00 degrees
Fractional positions:
Ni (0.000, 0.500, 0.000)
Ni (0.000, 0.000, 0.500)
Ho (0.000, 0.881, 0.304)
Ho (0.500, 0.224, 0.447)
Ho (0.000, 0.381, 0.196)
Ho (0.500, 0.776, 0.553)
Ho (0.000, 0.619, 0.804)
Ho (0.500, 0.276, 0.947)
Ho (0.000, 0.119, 0.696)
Ho (0.500, 0.724, 0.053)
Hg (0.500, 0.917, 0.836)
Hg (0.500, 0.417, 0.664)
Hg (0.500, 0.083, 0.164)
Hg (0.500, 0.583, 0.336)

=====

## Ho5NiHg2 (PBE)

Data for crystalline Ho5NiHg2 at its relaxed geometry.

As for the volume: 26.924 Å³ per atom. As for the space group: Cmcm. The value obtained for the formation energy from the elements is -99.8 kJ/mol of formula units.

Cell lengths 5.638, 6.786, 12.379 Å; angles 90.00, 90.00, 114.55 degrees
Fractional positions:
Ho (0.928, 0.857, 0.893)
Ho (0.072, 0.143, 0.107)
Ho (0.392, 0.783, 0.750)
Ho (0.072, 0.143, 0.393)
Ho (0.377, 0.753, 0.433)
Ho (0.608, 0.217, 0.250)
Ho (0.623, 0.247, 0.567)
Ho (0.623, 0.247, 0.933)
Ho (0.377, 0.753, 0.067)
Ho (0.928, 0.857, 0.607)
Ni (0.234, 0.468, 0.250)
Ni (0.766, 0.532, 0.750)
Hg (0.182, 0.364, 0.626)
Hg (0.818, 0.636, 0.126)
Hg (0.182, 0.364, 0.874)
Hg (0.818, 0.636, 0.374)

=====

## HoNiHg (PBE)

Data for crystalline HoNiHg at its relaxed geometry.

As for the volume: 21.959 Å³ per atom. As for the space group: F-43m. The value obtained for the formation energy from the elements is -84.5 kJ/mol of formula units.

Cell lengths 4.533, 4.533, 4.533 Å; angles 60.00, 60.00, 60.00 degrees
Fractional positions:
Hg (0.000, 0.000, 0.000)
Ni (0.250, 0.250, 0.250)
Ho (0.500, 0.500, 0.500)

=====

Uncorrected energy (computed, eV/atom): -3.414; -3.425; -2.918; -2.904; -4.264; -4.355; -4.569; -5.053; -4.276; -3.808; -3.789; -3.845